Entry 1:
Here is an optimized crystal structure of Sm8Ga2Os from Alexandria via LeMat-Bulk. Energies are from PBE.

Cell: 5.122 6.846 9.413 Å, 103.06 105.79 90.00°
Atoms (fractional coordinates):
Sm: 0.205 0.304 0.410
Sm: 0.655 0.958 0.309
Sm: 0.410 0.563 0.820
Sm: 0.795 0.696 0.590
Sm: 0.977 0.216 0.954
Ga: 0.190 0.733 0.379
Sm: 0.023 0.784 0.046
Sm: 0.345 0.042 0.691
Ga: 0.810 0.267 0.621
Sm: 0.590 0.437 0.180
Os: 0.500 0.000 0.000

Results
Calculated total energy   -57.663 eV for the cell shown
Theoretical density   8.24 g/cm3
Crystal system   monoclinic

Entry 2:
Here is an optimized crystal structure of PmNdCd2 from Alexandria via LeMat-Bulk. Energies are from PBE.

Cell: 3.682 3.682 10.480 Å, 79.88 79.88 60.00°
Atoms (fractional coordinates):
Cd: 0.749 0.749 0.752
Nd: 0.500 0.500 0.500
Cd: 0.251 0.251 0.248
Pm: 0.000 0.000 0.000

Results
Calculated total energy   -11.880 eV for the cell shown
Theoretical density   7.08 g/cm3
Crystal system   trigonal

Entry 3:
Here is an optimized crystal structure of Cu3Ni5Pt12 from Alexandria via LeMat-Bulk. Energies are from PBE.

Cell: 12.266 12.266 12.266 Å, 109.47 109.47 109.47°
Site moments in Bohr magnetons follow the coordinates.
Atoms (fractional coordinates):
Pt: 0.727 0.134 0.062  0.07
Cu: 0.750 0.375 0.125  0.04
Pt: 0.438 0.665 0.072  0.07
Cu: 0.250 0.125 0.375  0.04
Pt: 0.438 0.773 0.866  0.07
Pt: 0.572 0.938 0.665  0.07
Cu: 0.625 0.250 0.375  0.04
Pt: 0.907 0.072 0.634  0.07
Cu: 0.250 0.625 0.875  0.04
Pt: 0.134 0.727 0.562  0.07
Pt: 0.366 0.938 0.773  0.07
Pt: 0.165 0.072 0.938  0.07
Pt: 0.634 0.062 0.227  0.07
Pt: 0.428 0.062 0.335  0.07
Cu: 0.375 0.750 0.625  0.04
Ni: 0.000 0.000 0.000  0.06
Pt: 0.335 0.773 0.407  0.07
Ni: 0.500 0.000 0.000  0.06
Pt: 0.938 0.366 0.273  0.07
Ni: 0.875 0.625 0.750  0.30
Pt: 0.665 0.438 0.572  0.07
Pt: 0.572 0.634 0.407  0.07
Pt: 0.093 0.165 0.227  0.07
Ni: 0.500 0.500 0.500  0.06
Pt: 0.928 0.093 0.866  0.07
Ni: 0.500 0.000 0.500  0.06
Cu: 0.375 0.625 0.250  0.04
Ni: 0.000 0.000 0.500  0.06
Ni: 0.750 0.625 0.375  0.30
Ni: 0.375 0.125 0.750  0.30
Pt: 0.562 0.335 0.928  0.07
Pt: 0.072 0.907 0.134  0.07
Pt: 0.407 0.134 0.572  0.07
Pt: 0.727 0.593 0.165  0.07
Pt: 0.428 0.366 0.593  0.07
Pt: 0.928 0.835 0.562  0.07
Pt: 0.227 0.665 0.093  0.07
Pt: 0.866 0.593 0.928  0.07
Pt: 0.335 0.562 0.428  0.07
Pt: 0.165 0.093 0.727  0.07
Cu: 0.875 0.125 0.250  0.04
Pt: 0.273 0.407 0.835  0.07
Ni: 0.875 0.250 0.625  0.30
Cu: 0.625 0.375 0.750  0.04
Pt: 0.773 0.438 0.366  0.07
Ni: 0.750 0.125 0.875  0.30
Pt: 0.227 0.562 0.634  0.07
Pt: 0.835 0.928 0.062  0.07
Pt: 0.134 0.407 0.072  0.07
Ni: 0.500 0.500 0.000  0.06
Pt: 0.062 0.428 0.835  0.07
Pt: 0.366 0.428 0.093  0.07
Pt: 0.773 0.335 0.907  0.07
Pt: 0.072 0.165 0.438  0.07
Pt: 0.093 0.928 0.366  0.07
Ni: 0.375 0.250 0.125  0.30
Ni: 0.250 0.375 0.625  0.30
Pt: 0.866 0.273 0.438  0.07
Pt: 0.273 0.866 0.938  0.07
Cu: 0.750 0.875 0.625  0.04
Ni: 0.000 0.500 0.000  0.06
Pt: 0.938 0.572 0.165  0.07
Ni: 0.000 0.500 0.500  0.06
Pt: 0.634 0.572 0.907  0.07
Ni: 0.625 0.750 0.875  0.30
Pt: 0.407 0.273 0.335  0.07
Pt: 0.665 0.227 0.593  0.07
Pt: 0.593 0.866 0.428  0.07
Ni: 0.125 0.750 0.375  0.30
Pt: 0.593 0.727 0.665  0.07
Pt: 0.062 0.634 0.727  0.07
Ni: 0.625 0.875 0.250  0.30
Ni: 0.250 0.875 0.125  0.30
Cu: 0.125 0.875 0.750  0.04
Pt: 0.907 0.835 0.773  0.07
Pt: 0.562 0.227 0.134  0.07
Cu: 0.125 0.250 0.875  0.04
Pt: 0.835 0.907 0.273  0.07
Ni: 0.125 0.375 0.250  0.30
Cu: 0.875 0.750 0.125  0.04

Results
Calculated total energy   -407.738 eV for the cell shown
Theoretical density   13.21 g/cm3
Crystal system   cubic

Entry 4:
Here is an optimized crystal structure of TlIn2RhPb from Alexandria via LeMat-Bulk. Energies are from PBE.

Cell: 5.207 5.207 5.273 Å, 90.00 90.00 90.00°
Atoms (fractional coordinates):
Rh: 0.000 0.000 0.000
In: 0.500 0.000 0.000
Pb: 0.000 0.000 0.500
In: 0.000 0.500 0.000
Tl: 0.500 0.500 0.500

Results
Calculated total energy   -19.118 eV for the cell shown
Theoretical density   8.64 g/cm3
Crystal system   tetragonal

Entry 5:
Here is an optimized crystal structure of Li2CdIr from Alexandria via LeMat-Bulk. Energies are from PBE.

Cell: 4.482 4.482 4.482 Å, 120.47 120.47 89.18°
Atoms (fractional coordinates):
Cd: 0.500 0.500 0.000
Li: 0.250 0.750 0.500
Ir: 0.750 0.250 0.500
Li: 0.000 0.000 0.000

Results
Calculated total energy   -13.884 eV for the cell shown
Theoretical density   8.37 g/cm3
Crystal system   tetragonal

Entry 6:
Here is an optimized crystal structure of MoOs3 from Alexandria via LeMat-Bulk. Energies are from PBE.

Cell: 5.512 4.790 13.347 Å, 90.00 90.00 90.00°
Atoms (fractional coordinates):
Os: 0.998 0.165 0.915
Os: 0.250 0.337 0.085
Os: 0.002 0.835 0.085
Os: 0.998 0.165 0.585
Os: 0.250 0.337 0.415
Os: 0.501 0.497 0.750
Mo: 0.750 0.993 0.750
Os: 0.750 0.999 0.250
Os: 0.750 0.663 0.915
Os: 0.498 0.835 0.415
Mo: 0.250 0.662 0.913
Os: 0.750 0.663 0.585
Os: 0.250 0.001 0.750
Os: 0.499 0.503 0.250
Mo: 0.750 0.338 0.413
Os: 0.502 0.165 0.585
Os: 0.002 0.835 0.415
Mo: 0.250 0.662 0.587
Os: 0.498 0.835 0.085
Os: 0.999 0.497 0.750
Mo: 0.250 0.007 0.250
Os: 0.502 0.165 0.915
Mo: 0.750 0.338 0.087
Os: 0.001 0.503 0.250

Results
Calculated total energy   -266.582 eV for the cell shown
Theoretical density   18.85 g/cm3
Crystal system   orthorhombic

Entry 7:
Here is an optimized crystal structure of ScSnC2 from Alexandria via LeMat-Bulk. Energies are from PBE.

Cell: 5.695 5.695 5.523 Å, 58.97 58.97 90.00°
Atoms (fractional coordinates):
Sn: 0.750 0.250 0.500
Sc: 0.250 0.750 0.500
C: 0.114 0.625 0.250
C: 0.375 0.364 0.750
Sn: 0.000 0.000 0.000
C: 0.636 0.125 0.250
Sc: 0.500 0.500 0.000
C: 0.875 0.886 0.750

Results
Calculated total energy   -52.316 eV for the cell shown
Theoretical density   5.08 g/cm3
Crystal system   tetragonal

Entry 8:
Here is an optimized crystal structure of SiTePd from Alexandria via LeMat-Bulk. Energies are from PBE.

Cell: 4.689 3.831 8.926 Å, 90.00 98.02 90.00°
Atoms (fractional coordinates):
Si: 0.889 0.500 0.857
Pd: 0.385 0.500 0.801
Te: 0.203 0.000 0.003
Pd: 0.385 0.000 0.301
Te: 0.203 0.500 0.503
Si: 0.889 0.000 0.357

Results
Calculated total energy   -27.447 eV for the cell shown
Raw formation energy   0.01 eV/atom
Theoretical density   5.48 g/cm3
Crystal system   monoclinic

Entry 9:
Here is an optimized crystal structure of CdN2O2 from Alexandria via LeMat-Bulk. Energies are from PBE.

Cell: 4.455 4.455 4.309 Å, 90.00 90.00 90.00°
Site moments in Bohr magnetons follow the coordinates.
Atoms (fractional coordinates):
O: 0.500 0.500 0.500  1.51
Cd: 0.000 0.000 0.000  0.10
N: 0.000 0.500 0.000  1.46
O: 0.000 0.000 0.500  0.84
N: 0.500 0.000 0.000  1.46

Results
Calculated total energy   -15.686 eV for the cell shown
Raw formation energy   2.36 eV/atom
Theoretical density   3.35 g/cm3
Crystal system   tetragonal

Entry 10:
Here is an optimized crystal structure of LaY6Er2Tm3 from Alexandria via LeMat-Bulk. Energies are from PBE.

Cell: 6.156 6.156 11.794 Å, 94.98 94.98 119.96°
Atoms (fractional coordinates):
Tm: 0.167 0.833 0.500
Y: 0.420 0.085 0.253
Er: 0.667 0.333 0.000
La: 0.000 0.000 0.000
Y: 0.750 0.750 0.253
Er: 0.333 0.667 0.000
Y: 0.250 0.250 0.747
Tm: 0.833 0.167 0.500
Y: 0.580 0.915 0.747
Y: 0.085 0.420 0.253
Tm: 0.500 0.500 0.500
Y: 0.915 0.580 0.747

Results
Calculated total energy   -65.904 eV for the cell shown
Theoretical density   6.59 g/cm3
Crystal system   monoclinic

Entry 11:
Here is an optimized crystal structure of CeGeN from Alexandria via LeMat-Bulk. Energies are from PBE.

Cell: 3.598 3.565 9.070 Å, 78.67 90.00 90.00°
Atoms (fractional coordinates):
N: 0.750 0.310 0.379
Ge: 0.750 0.425 0.149
Ce: 0.750 0.178 0.644
N: 0.250 0.690 0.621
Ge: 0.250 0.575 0.851
Ce: 0.250 0.822 0.356

Results
Calculated total energy   -42.707 eV for the cell shown
Raw formation energy   -0.83 eV/atom
Theoretical density   6.60 g/cm3
Crystal system   orthorhombic

Entry 12:
Here is an optimized crystal structure of YSbSe2 from Alexandria via LeMat-Bulk. Energies are from PBE.

Cell: 8.197 8.197 3.953 Å, 76.35 76.35 27.44°
Atoms (fractional coordinates):
Se: 0.796 0.796 0.702
Sb: 0.256 0.256 0.241
Se: 0.005 0.005 0.999
Y: 0.443 0.443 0.559

Results
Calculated total energy   -21.657 eV for the cell shown
Raw formation energy   -1.03 eV/atom
Theoretical density   5.16 g/cm3
Crystal system   monoclinic